Entry 1:
Ga2Cu5Au5: optimized geometry, PBE.

```
data_Ga2Cu5Au5
_cell_length_a 13.150
_cell_length_b 4.128
_cell_length_c 8.498
_cell_angle_alpha 90.00
_cell_angle_beta 124.80
_cell_angle_gamma 90.00
_symmetry_space_group_name_H-M 'C 1 2/m 1'
_symmetry_Int_Tables_number 12
loop_
_symmetry_equiv_pos_as_xyz
'x,y,z'
'-x,-y,-z'
'-x,y,-z'
'x,-y,z'
'x+1/2,y+1/2,z'
'-x+1/2,-y+1/2,-z'
'-x+1/2,y+1/2,-z'
'x+1/2,-y+1/2,z'
loop_
_atom_site_label
_atom_site_fract_x
_atom_site_fract_y
_atom_site_fract_z
Ga1 0.030 0.000 0.319
Cu1 0.000 0.000 0.000
Cu2 0.097 0.500 0.191
Cu3 0.171 0.000 0.716
Au1 0.000 0.500 0.500
Au2 0.146 0.500 0.920
Au3 0.245 0.000 0.375
```

Output
Total DFT energy (no corrections): -3.595 eV per atom
Distance to the lowest polymorph of the same formula: 33 meV per atom
Formation enthalpy at 0 K: -2 kJ/mol of atoms
N(E_F): 3.0 states/eV/f.u.

=====

Entry 2:
Sc3RuPb: optimized geometry, PBE.

```
data_Sc3RuPb
_cell_length_a 4.989
_cell_length_b 4.989
_cell_length_c 4.989
_cell_angle_alpha 90.00
_cell_angle_beta 90.00
_cell_angle_gamma 90.00
_symmetry_space_group_name_H-M 'P m -3 m'
_symmetry_Int_Tables_number 221
_symmetry_space_group_name_Hall '-P 4 2 3'
loop_
_atom_site_label
_atom_site_fract_x
_atom_site_fract_y
_atom_site_fract_z
Sc1 0.000 0.000 0.500
Ru1 0.000 0.000 0.000
Pb1 0.500 0.500 0.500
```

Output
Total DFT energy (no corrections): -6.612 eV per atom
Distance to the lowest polymorph of the same formula: 0 meV per atom
Formation enthalpy at 0 K: -21 kJ/mol of atoms
N(E_F): 3.1 states/eV/f.u.

=====

Entry 3:
SrPuSi3: optimized geometry, PBE.

```
data_SrPuSi3
_cell_length_a 8.464
_cell_length_b 13.524
_cell_length_c 4.159
_cell_angle_alpha 90.00
_cell_angle_beta 90.00
_cell_angle_gamma 90.00
_symmetry_space_group_name_H-M 'C m m m'
_symmetry_Int_Tables_number 65
_symmetry_space_group_name_Hall '-C 2 2'
loop_
_atom_site_label
_atom_site_fract_x
_atom_site_fract_y
_atom_site_fract_z
Sr1 0.000 0.000 0.000
Sr2 0.000 0.500 0.000
Pu1 0.250 0.250 0.000
Si1 0.000 0.186 0.500
Si2 0.241 0.090 0.500
```

Output
Total DFT energy (no corrections): -6.715 eV per atom
N(E_F): 12.2 states/eV/f.u.

=====

Entry 4:
ZrTl2Os: optimized geometry, PBE.

```
data_ZrTl2Os
_cell_length_a 3.232
_cell_length_b 5.375
_cell_length_c 9.793
_cell_angle_alpha 90.00
_cell_angle_beta 90.00
_cell_angle_gamma 90.00
_symmetry_space_group_name_H-M 'C m m m'
_symmetry_Int_Tables_number 65
_symmetry_space_group_name_Hall '-C 2 2'
loop_
_atom_site_label
_atom_site_fract_x
_atom_site_fract_y
_atom_site_fract_z
Zr1 0.000 0.000 0.000
Tl1 0.000 0.500 0.267
Os1 0.000 0.000 0.500
```

Output
Total DFT energy (no corrections): -5.465 eV per atom
Distance to the lowest polymorph of the same formula: 503 meV per atom
Formation enthalpy at 0 K: 64 kJ/mol of atoms
N(E_F): 4.0 states/eV/f.u.

=====

Entry 5:
NaCdCuS2: optimized geometry, PBE.

```
data_NaCdCuS2
_cell_length_a 6.585
_cell_length_b 4.876
_cell_length_c 7.105
_cell_angle_alpha 90.00
_cell_angle_beta 101.87
_cell_angle_gamma 90.00
_symmetry_space_group_name_H-M 'P 1 2/c 1'
_symmetry_Int_Tables_number 13
loop_
_symmetry_equiv_pos_as_xyz
'x,y,z'
'-x,-y,-z'
'-x,y,-z+1/2'
'x,-y,z+1/2'
loop_
_atom_site_label
_atom_site_fract_x
_atom_site_fract_y
_atom_site_fract_z
Na1 0.000 0.197 0.250
Cd1 0.500 0.494 0.750
Cu1 0.500 0.000 0.000
S1 0.244 0.282 0.955
```

Output
Total DFT energy (no corrections): -3.541 eV per atom
Distance to the lowest polymorph of the same formula: 0 meV per atom
N(E_F): 0.0 states/eV/f.u.

=====

Entry 6:
KAg2Sb2Pb2: optimized geometry, PBE.

```
data_KAg2Sb2Pb2
_cell_length_a 4.7602
_cell_length_b 4.7602
_cell_length_c 33.6567
_cell_angle_alpha 90.00
_cell_angle_beta 90.00
_cell_angle_gamma 120.00
_symmetry_space_group_name_H-M 'R -3 m'
_symmetry_Int_Tables_number 166
_symmetry_space_group_name_Hall '-R 3 2"'
loop_
_atom_site_label
_atom_site_fract_x
_atom_site_fract_y
_atom_site_fract_z
K1 0.0000 0.0000 0.0000
Ag1 0.0000 0.0000 0.4198
Sb1 0.0000 0.0000 0.2603
Pb1 0.0000 0.0000 0.1305
```

Output
Total DFT energy (no corrections): -3.301 eV per atom
N(E_F): 2.4 states/eV/f.u.

=====

Entry 7:
MgZnRu2: optimized geometry, PBE.

```
data_MgZnRu2
_cell_length_a 2.994
_cell_length_b 4.555
_cell_length_c 8.684
_cell_angle_alpha 90.00
_cell_angle_beta 90.00
_cell_angle_gamma 90.00
_symmetry_space_group_name_H-M 'C m m m'
_symmetry_Int_Tables_number 65
_symmetry_space_group_name_Hall '-C 2 2'
loop_
_atom_site_label
_atom_site_fract_x
_atom_site_fract_y
_atom_site_fract_z
Mg1 0.000 0.000 0.000
Zn1 0.000 0.000 0.500
Ru1 0.000 0.500 0.256
```

Output
Total DFT energy (no corrections): -5.199 eV per atom
Formation enthalpy at 0 K: 15 kJ/mol of atoms
N(E_F): 4.4 states/eV/f.u.

=====

Entry 8:
Pr3YTm3: optimized geometry, PBE.

```
data_Pr3YTm3
_cell_length_a 8.7317
_cell_length_b 8.7317
_cell_length_c 21.7318
_cell_angle_alpha 90.00
_cell_angle_beta 90.00
_cell_angle_gamma 120.00
_symmetry_space_group_name_H-M 'R -3'
_symmetry_Int_Tables_number 148
_symmetry_space_group_name_Hall '-R 3'
loop_
_atom_site_label
_atom_site_fract_x
_atom_site_fract_y
_atom_site_fract_z
Pr1 0.0044 0.7637 0.0598
Y1 0.0000 0.0000 0.3511
Tm1 0.0577 0.7861 0.2134
```

Output
Total DFT energy (no corrections): -4.624 eV per atom
Distance to the lowest polymorph of the same formula: 241 meV per atom
Formation enthalpy at 0 K: 25 kJ/mol of atoms
N(E_F): 11.0 states/eV/f.u.